# Rb2V3F8 PBE+U relaxed
data_Rb2V3F8
_chemical_formula_sum 'Rb4 V6 F16'
_space_group_name_H-M_alt 'C 1 2/m 1'
_space_group_IT_number 12
_cell_length_a 13.1219
_cell_length_b 6.6967
_cell_length_c 5.6907
_cell_angle_alpha 90.00
_cell_angle_beta 109.41
_cell_angle_gamma 90.00
loop_
_space_group_symop_operation_xyz
'x,y,z'
'-x,-y,-z'
'-x,y,-z'
'x,-y,z'
'x+1/2,y+1/2,z'
'-x+1/2,-y+1/2,-z'
'-x+1/2,y+1/2,-z'
'x+1/2,-y+1/2,z'
loop_
_atom_site_label
_atom_site_type_symbol
_atom_site_fract_x
_atom_site_fract_y
_atom_site_fract_z
Rb1 Rb 0.2217 0.0000 0.1707
V1 V 0.0000 0.2455 0.5000
V2 V 0.0000 0.5000 0.0000
F1 F 0.0845 0.5000 0.4013
F2 F 0.0904 0.2843 0.8832
F3 F 0.0945 0.0000 0.4605
# **Fermi-level density of states**: 0.000 states/eV/f.u.
# **Density**: 3.35 g/cm3
# **Uncorrected energy**: -5.7227 eV per atom